PmCrCuO5 | PBE with a Hubbard U | relaxed

abc: 8.7739 8.3164 8.5268
angles: 90.00 119.94 90.00
Space group C2/c (No. 15)
Symmetry-distinct sites (fractional):
Pm (0.0000, 0.0000, 0.0000) (multiplicity 4)
Cr (0.0000, 0.3871, 0.2500) (multiplicity 4)
Cu (0.0000, 0.3202, 0.7500) (multiplicity 4)
O (0.0000, 0.0983, 0.7500) (multiplicity 4)
O (0.0082, 0.2728, 0.4137) (multiplicity 8)
O (0.1839, 0.4925, 0.8376) (multiplicity 8)

Computed properties:
M_tot   0.0 μB/f.u.
VASP energy   -219.68 eV per cell